Hf4ZnGa3 | Alexandria | PBE | relaxed; energy relative to the elements = -418 meV per atom
1.0
3.7655 0.0000 0.0000
0.0000 3.9386 0.0000
0.0000 0.0000 10.1302
Hf Zn Ga
4 1 3
Direct
0.0000 0.0000 0.0000
0.0000 0.5000 0.5000
0.5000 0.0000 0.2864
0.5000 0.5000 0.7869
0.5000 0.5000 0.0616
0.0000 0.0000 0.7256
0.0000 0.5000 0.2246
0.5000 0.0000 0.5606



HfZr2Rh | Alexandria | PBE | relaxed; energy relative to the elements = -198 meV per atom
1.0
1.6172 0.9337 9.1886
-1.6172 0.9337 9.1886
0.0000 -1.8674 9.1886
Hf Zr Rh
1 2 1
Direct
0.0000 0.0000 0.0000
0.2411 0.2411 0.2411
0.4252 0.4252 0.4252
0.8325 0.8325 0.8325



Density functional theory data (PBE) for Sm5Tl2H2 after structural relaxation.

```
Sm5Tl2H2
1.0
6.1911 -2.6916 0.0000
6.1911 2.6916 0.0000
-1.0132 0.0000 6.6417
Sm Tl H
5 2 2
Direct
0.0000 0.0000 0.0000
0.1523 0.1523 0.5439
0.3265 0.3265 0.1103
0.6735 0.6735 0.8897
0.8477 0.8477 0.4561
0.4234 0.4234 0.6820
0.5766 0.5766 0.3180
0.1664 0.1664 0.8865
0.8336 0.8336 0.1135
```



Pr2NdSm | Alexandria | PBE | relaxed; energy relative to the elements = 13 meV per atom
1.0
5.2106 0.0000 0.0000
0.0000 5.2106 0.0000
0.0000 0.0000 5.2028
Pr Nd Sm
2 1 1
Direct
0.0000 0.5000 0.0000
0.5000 0.0000 0.0000
0.0000 0.0000 0.5000
0.5000 0.5000 0.5000



RbZnI2O | Alexandria | PBE | relaxed; energy relative to the elements, uncorrected = -0.77 eV/atom
1.0
6.7514 0.0000 0.0000
0.0000 6.7514 0.0000
0.0000 0.0000 3.5579
Rb Zn I O
1 1 2 1
Direct
0.0000 0.0000 0.0000
0.5000 0.5000 0.5000
0.0000 0.5000 0.5000
0.5000 0.0000 0.5000
0.5000 0.5000 0.0000



BaVBr2 | Alexandria | PBE | relaxed; energy relative to the elements, uncorrected = -0.51 eV/atom
1.0
0.0000 3.9261 3.9261
3.9261 0.0000 3.9261
3.9261 3.9261 0.0000
Ba V Br
1 1 2
Direct
0.0000 0.0000 0.0000
0.5000 0.5000 0.5000
0.2500 0.2500 0.2500
0.7500 0.7500 0.7500



no.,DFT total energy (eV/atom)
1,-6.689
2,-8.799
3,-4.218
4,-4.748
5,-2.827
6,-4.111